Record 1
The following is a GGA-PBE calculation of a geometry-optimized ZnCoHRu2 structure, from the Alexandria database.

Computed properties:
- Space group: P4/mmm

a = 3.883 Å, b = 3.883 Å, c = 3.663 Å
α = 90.00°, β = 90.00°, γ = 90.00°
Positions (direct):
Zn1 0.000 0.000 0.000
Co1 0.500 0.500 0.000
H1 0.500 0.500 0.500
Ru1 0.000 0.500 0.500
Ru2 0.500 0.000 0.500

---

Record 2
The following is a GGA-PBE calculation of a geometry-optimized PrU2RhN4 structure, from the Alexandria database.

Computed properties:
- Formation energy from raw total energies: -1.084 eV per atom
- Space group: Cmcm

a = 5.969 Å, b = 5.969 Å, c = 11.579 Å
α = 90.00°, β = 90.00°, γ = 145.40°
Positions (direct):
Pr1 0.106 0.894 0.750
Pr2 0.894 0.106 0.250
U1 0.372 0.628 0.558
U2 0.372 0.628 0.942
U3 0.628 0.372 0.058
U4 0.628 0.372 0.442
Rh1 0.159 0.841 0.250
Rh2 0.841 0.159 0.750
N1 0.000 0.000 0.000
N2 0.000 0.000 0.500
N3 0.267 0.733 0.098
N4 0.267 0.733 0.402
N5 0.452 0.548 0.750
N6 0.548 0.452 0.250
N7 0.733 0.267 0.598
N8 0.733 0.267 0.902

---

Record 3
The following is a GGA-PBE calculation of a geometry-optimized Hf2PaTaC4 structure, from the Alexandria database.

Computed properties:
- Space group: Cmcm
- Formation energy from the elements: -0.40 eV per atom

a = 6.063 Å, b = 6.063 Å, c = 11.706 Å
α = 90.00°, β = 90.00°, γ = 148.09°
Positions (direct):
Hf1 0.131 0.869 0.532
Hf2 0.131 0.869 0.968
Hf3 0.869 0.131 0.032
Hf4 0.869 0.131 0.468
Pa1 0.366 0.634 0.750
Pa2 0.634 0.366 0.250
Ta1 0.367 0.633 0.250
Ta2 0.633 0.367 0.750
C1 0.023 0.977 0.750
C2 0.245 0.755 0.119
C3 0.245 0.755 0.381
C4 0.500 0.500 0.000
C5 0.500 0.500 0.500
C6 0.755 0.245 0.619
C7 0.755 0.245 0.881
C8 0.977 0.023 0.250

---

Record 4
The following is a GGA-PBE calculation of a geometry-optimized CrIr2Br structure, from the Alexandria database.

Computed properties:
- Formation energy from raw total energies: 0.409 eV per atom
- Space group: R-3m

a = 2.732 Å, b = 2.732 Å, c = 33.937 Å
α = 90.00°, β = 90.00°, γ = 120.00°
Positions (direct):
Cr1 0.000 0.000 0.000
Cr2 0.333 0.667 0.667
Cr3 0.667 0.333 0.333
Ir1 0.000 0.000 0.274
Ir2 0.000 0.000 0.726
Ir3 0.333 0.667 0.393
Ir4 0.333 0.667 0.941
Ir5 0.667 0.333 0.059
Ir6 0.667 0.333 0.607
Br1 0.000 0.000 0.500
Br2 0.333 0.667 0.167
Br3 0.667 0.333 0.833

---

Record 5
The following is a GGA-PBE calculation of a geometry-optimized CsU2Te4Pd structure, from the Alexandria database.

Computed properties:
- Formation energy from raw total energies: -0.691 eV per atom
- Space group: Cmcm

a = 8.147 Å, b = 8.147 Å, c = 15.476 Å
α = 90.00°, β = 90.00°, γ = 148.31°
Positions (direct):
Cs1 0.112 0.888 0.750
Cs2 0.888 0.112 0.250
U1 0.367 0.633 0.566
U2 0.367 0.633 0.934
U3 0.633 0.367 0.066
U4 0.633 0.367 0.434
Te1 0.000 0.000 0.000
Te2 0.000 0.000 0.500
Te3 0.262 0.738 0.106
Te4 0.262 0.738 0.394
Te5 0.432 0.568 0.750
Te6 0.568 0.432 0.250
Te7 0.738 0.262 0.606
Te8 0.738 0.262 0.894
Pd1 0.164 0.836 0.250
Pd2 0.836 0.164 0.750

---

Record 6
The following is a GGA-PBE calculation of a geometry-optimized OsRu2Pb structure, from the Alexandria database.

Computed properties:
- Space group: R3m
- Formation energy from the elements: 0.73 eV per atom

a = 2.892 Å, b = 2.892 Å, c = 27.933 Å
α = 90.00°, β = 90.00°, γ = 120.00°
Positions (direct):
Os1 0.000 0.000 0.000
Os2 0.333 0.667 0.667
Os3 0.667 0.333 0.333
Ru1 0.000 0.000 0.260
Ru2 0.000 0.000 0.518
Ru3 0.333 0.667 0.185
Ru4 0.333 0.667 0.927
Ru5 0.667 0.333 0.593
Ru6 0.667 0.333 0.852
Pb1 0.000 0.000 0.761
Pb2 0.333 0.667 0.428
Pb3 0.667 0.333 0.095

---

We obtain energy values of -5.88; -9.59; -10.17; -6.85; -5.84; -7.64 eV per atom for the records listed above, in that order.
We obtain DOS at the Fermi energy values of 6.8; 5.2; 4.0; 3.5; 14.5; 5.2 states/eV/f.u. for the records listed above, in that order.